[1]
Entry from the Alexandria database: a geometry-optimized PmCuHg2 structure (GGA-PBE).

a = 7.091 Å, b = 7.091 Å, c = 7.091 Å
α = 90.00°, β = 90.00°, γ = 90.00°
Space group Fm-3m (No. 225)
Inequivalent atoms, fractional coordinates:
Pm 0.000 0.000 0.000 x4
Cu 0.000 0.000 0.500 x4
Hg 0.250 0.250 0.250 x8

Results
Polymorph energy (0 for the lowest one) ... 66 meV/atom
Energy of formation ... -22 kJ/mol of atoms

---

[2]
Entry from the Alexandria database: a geometry-optimized NaGa2Ag6 structure (GGA-PBE).

a = 14.347 Å, b = 9.662 Å, c = 4.882 Å
α = 90.00°, β = 97.51°, γ = 90.00°
Space group C2/c (No. 15)
Inequivalent atoms, fractional coordinates:
Na 0.000 0.114 0.250 x4
Ga 0.152 0.363 0.104 x8
Ag 0.055 0.378 0.534 x8
Ag 0.136 0.131 0.795 x8
Ag 0.242 0.117 0.340 x8

Results
Polymorph energy (0 for the lowest one) ... 0 meV/atom
Energy of formation ... 1 kJ/mol of atoms

---

[3]
Entry from the Alexandria database: a geometry-optimized ReNiCl2 structure (GGA-PBE).

a = 6.088 Å, b = 6.088 Å, c = 6.088 Å
α = 90.00°, β = 90.00°, γ = 90.00°
Space group Fm-3m (No. 225)
Inequivalent atoms, fractional coordinates:
Re 0.000 0.000 0.000 x4
Ni 0.000 0.000 0.500 x4
Cl 0.250 0.250 0.250 x8

Results
Formation energy without anion corrections ... 1093 meV/atom
Polymorph energy (0 for the lowest one) ... 1021 meV/atom

---

[4]
Entry from the Alexandria database: a geometry-optimized ZnTc2B structure (GGA-PBE).

a = 3.702 Å, b = 3.702 Å, c = 16.758 Å
α = 90.00°, β = 90.00°, γ = 90.00°
Space group I-42d (No. 122)
Inequivalent atoms, fractional coordinates:
Zn 0.000 0.000 0.000 x4
Tc 0.191 0.250 0.625 x8
B 0.000 0.000 0.500 x4

Results
Polymorph energy (0 for the lowest one) ... 902 meV/atom
Energy of formation ... 76 kJ/mol of atoms

---

[5]
Entry from the Alexandria database: a geometry-optimized La2PuGa3Pt4 structure (GGA-PBE).

a = 4.403 Å, b = 4.403 Å, c = 11.020 Å
α = 90.00°, β = 90.00°, γ = 90.00°
Space group P-4m2 (No. 115)
Inequivalent atoms, fractional coordinates:
La 0.000 0.500 0.231 x2
Pu 0.000 0.000 0.500 x1
Ga 0.000 0.500 0.882 x2
Ga 0.500 0.500 0.500 x1
Pt 0.000 0.000 0.000 x1
Pt 0.000 0.500 0.655 x2
Pt 0.500 0.500 0.000 x1

Results
Energy of formation ... -89 kJ/mol of atoms

---

[6]
Entry from the Alexandria database: a geometry-optimized Sc3VCd structure (GGA-PBE).

a = 5.250 Å, b = 5.250 Å, c = 5.250 Å
α = 90.00°, β = 90.00°, γ = 90.00°
Space group Pm-3m (No. 221)
Inequivalent atoms, fractional coordinates:
Sc 0.000 0.000 0.500 x3
V 0.500 0.500 0.500 x1
Cd 0.000 0.000 0.000 x1

Results
Polymorph energy (0 for the lowest one) ... 513 meV/atom
Energy of formation ... 91 kJ/mol of atoms

---

Number 1: DOS(E_F) 9.7 states/eV per cell. Number 2: DOS(E_F) 6.3 states/eV per cell. Number 3: DOS(E_F) 20.7 states/eV per cell. Number 4: DOS(E_F) 13.2 states/eV per cell. Number 5: DOS(E_F) 10.5 states/eV per cell. Number 6: DOS(E_F) 8.7 states/eV per cell.